The following is a DFT calculation (GGA-PBE) of an optimized crystal structure of Ac2NpSb2O2.

SG: I4/mmm (139)
Total energy (eV per atom): -7.4154
Calculated volume (A^3/atom): 25.65
Total moment (Bohr magnetons per cell): 3.055

a = 4.5619 Å, b = 4.5619 Å, c = 9.2099 Å
α = 104.34°, β = 104.34°, γ = 90.00°
Each line ends with the local moment (μB).
Positions (direct):
Ac: 0.3753 0.3753 0.7506  -0.01
Ac: 0.6247 0.6247 0.2494  -0.01
Np: 0.0000 0.0000 0.0000  3.36
Sb: 0.1792 0.1792 0.3585  -0.06
Sb: 0.8208 0.8208 0.6415  -0.06
O: 0.0000 0.5000 0.0000  -0.09
O: 0.5000 0.0000 0.0000  -0.09

***

The following is a DFT calculation (GGA-PBE) of an optimized crystal structure of AcNpSbO6.

SG: P-31c (163)
Total energy (eV per atom): -8.0637
Calculated volume (A^3/atom): 15.92
Total moment (Bohr magnetons per cell): 2.000

a = 6.1036 Å, b = 6.1036 Å, c = 8.8801 Å
α = 90.00°, β = 90.00°, γ = 120.00°
Each line ends with the local moment (μB).
Positions (direct):
Ac: 0.3333 0.6667 0.2500  0.00
Ac: 0.6667 0.3333 0.7500  0.00
Np: 0.6667 0.3333 0.2500  1.24
Np: 0.3333 0.6667 0.7500  1.24
Sb: 0.0000 0.0000 0.0000  -0.01
Sb: 0.0000 0.0000 0.5000  -0.01
O: 0.6881 0.6343 0.1254  -0.04
O: 0.9462 0.3119 0.1254  -0.04
O: 0.3119 0.9462 0.6254  -0.04
O: 0.0538 0.6881 0.8746  -0.04
O: 0.3657 0.3119 0.3746  -0.04
O: 0.9462 0.6343 0.3746  -0.04
O: 0.6343 0.9462 0.8746  -0.04
O: 0.6881 0.0538 0.3746  -0.04
O: 0.0538 0.3657 0.6254  -0.04
O: 0.3657 0.0538 0.1254  -0.04
O: 0.6343 0.6881 0.6254  -0.04
O: 0.3119 0.3657 0.8746  -0.04

***

The following is a DFT calculation (GGA-PBE) of an optimized crystal structure of AcNpSbO2.

SG: I4mm (107)
Total energy (eV per atom): -8.5415
Calculated volume (A^3/atom): 21.78
Total moment (Bohr magnetons per cell): 3.407

a = 4.0333 Å, b = 4.0333 Å, c = 7.2766 Å
α = 106.09°, β = 106.09°, γ = 90.00°
Each line ends with the local moment (μB).
Positions (direct):
Ac: 0.8504 0.8504 0.7009  0.00
Np: 0.1591 0.1591 0.3183  3.52
Sb: 0.5115 0.5115 0.0230  -0.06
O: 0.7395 0.2395 0.4789  -0.07
O: 0.2395 0.7395 0.4789  -0.07

***

The following is a DFT calculation (GGA-PBE) of an optimized crystal structure of Ac2NpScO8.

SG: P-1 (2)
Total energy (eV per atom): -8.6324
Calculated volume (A^3/atom): 15.53
Total moment (Bohr magnetons per cell): 0.000

a = 4.2923 Å, b = 5.6591 Å, c = 7.7648 Å
α = 85.45°, β = 91.17°, γ = 97.70°
Positions (direct):
Ac: 0.4829 0.5273 0.7434
Ac: 0.5171 0.4727 0.2566
Np: 0.0000 0.0000 0.0000
Sc: 0.0000 0.0000 0.5000
O: 0.0726 0.7482 0.1840
O: 0.5931 0.7938 0.9920
O: 0.9523 0.1893 0.2433
O: 0.9274 0.2518 0.8160
O: 0.4069 0.2062 0.0080
O: 0.0477 0.8107 0.7567
O: 0.6116 0.7606 0.4763
O: 0.3884 0.2394 0.5237

***

The following is a DFT calculation (GGA-PBE) of an optimized crystal structure of Ac2NpScO6.

SG: P2_1/c (14)
Total energy (eV per atom): -8.9124
Calculated volume (A^3/atom): 15.71
Total moment (Bohr magnetons per cell): 8.000

a = 5.9936 Å, b = 6.1382 Å, c = 8.5385 Å
α = 90.00°, β = 89.76°, γ = 90.00°
Each line ends with the local moment (μB).
Positions (direct):
Ac: 0.0119 0.9506 0.2502  0.04
Ac: 0.5119 0.5494 0.7502  0.04
Ac: 0.9881 0.0494 0.7498  0.04
Ac: 0.4881 0.4506 0.2498  0.04
Np: 0.5000 0.0000 0.5000  3.75
Np: 0.0000 0.5000 0.0000  3.75
Sc: 0.5000 0.0000 0.0000  0.08
Sc: 0.0000 0.5000 0.5000  0.08
O: 0.3105 0.7095 0.0574  -0.02
O: 0.8105 0.7905 0.5574  -0.02
O: 0.6895 0.2905 0.9426  -0.02
O: 0.1895 0.2095 0.4426  -0.02
O: 0.2889 0.6922 0.4439  -0.02
O: 0.7889 0.8078 0.9439  -0.02
O: 0.7111 0.3078 0.5561  -0.02
O: 0.2111 0.1922 0.0561  -0.02
O: 0.8930 0.5399 0.2602  -0.02
O: 0.3930 0.9601 0.7602  -0.02
O: 0.1070 0.4601 0.7398  -0.02
O: 0.6070 0.0399 0.2398  -0.02

***

The following is a DFT calculation (GGA-PBE) of an optimized crystal structure of AcNpSi2O8.

SG: I-4m2 (119)
Total energy (eV per atom): -8.5118
Calculated volume (A^3/atom): 13.73
Total moment (Bohr magnetons per cell): 2.000

a = 6.0056 Å, b = 6.0056 Å, c = 6.0056 Å
α = 106.05°, β = 106.05°, γ = 116.54°
Each line ends with the local moment (μB).
Positions (direct):
Ac: 0.0000 0.0000 0.0000  -0.01
Np: 0.2500 0.7500 0.5000  2.33
Si: 0.7500 0.2500 0.5000  0.00
Si: 0.5000 0.5000 0.0000  0.00
O: 0.4058 0.0719 0.3339  -0.04
O: 0.3461 0.5339 0.1878  -0.05
O: 0.3461 0.1582 0.8122  -0.05
O: 0.7379 0.0719 0.6661  -0.04
O: 0.8418 0.6539 0.1878  -0.05
O: 0.9281 0.2621 0.3339  -0.04
O: 0.9281 0.5942 0.6661  -0.04
O: 0.4661 0.6539 0.8122  -0.05

***

The following is a DFT calculation (GGA-PBE) of an optimized crystal structure of AcNp2SiO8.

SG: P2/m (10)
Total energy (eV per atom): -9.0683
Calculated volume (A^3/atom): 14.05
Total moment (Bohr magnetons per cell): 5.000

a = 4.9503 Å, b = 4.9530 Å, c = 6.8899 Å
α = 90.00°, β = 90.00°, γ = 86.55°
Each line ends with the local moment (μB).
Positions (direct):
Ac: 0.0000 0.0000 0.5000  0.00
Np: 0.5000 0.5000 0.7720  2.72
Np: 0.5000 0.5000 0.2280  2.72
Si: 0.0000 0.0000 0.0000  0.01
O: 0.1840 0.8137 0.1872  -0.05
O: 0.7236 0.7257 0.0000  -0.09
O: 0.8160 0.1863 0.1871  -0.05
O: 0.8160 0.1863 0.8128  -0.05
O: 0.2764 0.2743 0.0000  -0.09
O: 0.1840 0.8137 0.8129  -0.05
O: 0.6644 0.6719 0.5001  -0.07
O: 0.3356 0.3281 0.4999  -0.07

***

The following is a DFT calculation (GGA-PBE) of an optimized crystal structure of AcNpSiO6.

SG: P312 (149)
Total energy (eV per atom): -8.7138
Calculated volume (A^3/atom): 14.47
Total moment (Bohr magnetons per cell): 2.000

a = 5.3369 Å, b = 5.3089 Å, c = 5.3089 Å
α = 120.00°, β = 90.00°, γ = 90.00°
Each line ends with the local moment (μB).
Positions (direct):
Ac: 0.0000 0.3333 0.6667  0.00
Np: 0.5000 0.6667 0.3333  2.21
Si: 0.5000 0.0000 0.0000  0.01
O: 0.6980 0.7257 0.7107  -0.04
O: 0.6980 0.2893 0.0150  -0.04
O: 0.6980 0.9850 0.2743  -0.04
O: 0.3020 0.2893 0.2743  -0.04
O: 0.3020 0.7257 0.0150  -0.04
O: 0.3020 0.9850 0.7107  -0.04

***

The following is a DFT calculation (GGA-PBE) of an optimized crystal structure of AcSm2NpO8.

SG: P2/m (10)
Total energy (eV per atom): -8.6432
Calculated volume (A^3/atom): 14.49
Total moment (Bohr magnetons per cell): 0.000

a = 4.0768 Å, b = 5.5633 Å, c = 7.6957 Å
α = 90.00°, β = 90.00°, γ = 95.14°
Positions (direct):
Ac: 0.0000 0.0000 0.5000
Sm: 0.5000 0.4999 0.7467
Sm: 0.5000 0.5001 0.2533
Np: 0.0000 0.0000 0.0000
O: 0.0380 0.7626 0.2089
O: 0.5641 0.7838 0.0000
O: 0.9618 0.2371 0.2088
O: 0.9620 0.2374 0.7911
O: 0.4359 0.2162 0.0000
O: 0.0382 0.7629 0.7912
O: 0.4853 0.7353 0.5000
O: 0.5147 0.2647 0.5000

***

The following is a DFT calculation (GGA-PBE) of an optimized crystal structure of AcSmNpO6.

SG: P-31c (163)
Total energy (eV per atom): -8.9233
Calculated volume (A^3/atom): 17.23
Total moment (Bohr magnetons per cell): 2.000

a = 5.9315 Å, b = 5.9315 Å, c = 10.1802 Å
α = 90.00°, β = 90.00°, γ = 120.00°
Each line ends with the local moment (μB).
Positions (direct):
Ac: 0.0000 0.0000 0.0000  -0.01
Ac: 0.0000 0.0000 0.5000  -0.01
Sm: 0.3333 0.6667 0.2500  0.00
Sm: 0.6667 0.3333 0.7500  0.00
Np: 0.6667 0.3333 0.2500  1.21
Np: 0.3333 0.6667 0.7500  1.21
O: 0.6578 0.6253 0.1402  -0.03
O: 0.9675 0.3422 0.1402  -0.03
O: 0.3422 0.9675 0.6402  -0.03
O: 0.0325 0.6578 0.8598  -0.03
O: 0.3747 0.3422 0.3598  -0.03
O: 0.9675 0.6253 0.3598  -0.03
O: 0.6253 0.9675 0.8598  -0.03
O: 0.6578 0.0325 0.3598  -0.03
O: 0.0325 0.3747 0.6402  -0.03
O: 0.3747 0.0325 0.1402  -0.03
O: 0.6253 0.6578 0.6402  -0.03
O: 0.3422 0.3747 0.8598  -0.03

***

The following is a DFT calculation (GGA-PBE) of an optimized crystal structure of Ac2SmNpO8.

SG: P2/m (10)
Total energy (eV per atom): -8.5763
Calculated volume (A^3/atom): 15.36
Total moment (Bohr magnetons per cell): 0.000

a = 4.1110 Å, b = 5.7829 Å, c = 7.7852 Å
α = 90.00°, β = 90.00°, γ = 95.25°
Positions (direct):
Ac: 0.5000 0.5000 0.7477
Ac: 0.5000 0.5000 0.2523
Sm: 0.0000 0.0000 0.5000
Np: 0.0000 0.0000 0.0000
O: 0.0434 0.7797 0.2139
O: 0.5764 0.7964 0.0000
O: 0.9566 0.2203 0.2140
O: 0.9566 0.2203 0.7861
O: 0.4236 0.2036 0.0000
O: 0.0434 0.7797 0.7860
O: 0.5136 0.7553 0.5000
O: 0.4864 0.2447 0.5000

***

The following is a DFT calculation (GGA-PBE) of an optimized crystal structure of Ac2SmNpO6.

SG: P2_1/c (14)
Total energy (eV per atom): -8.6953
Calculated volume (A^3/atom): 17.19
Total moment (Bohr magnetons per cell): 7.980

a = 6.1434 Å, b = 6.3357 Å, c = 8.8313 Å
α = 90.00°, β = 90.10°, γ = 90.00°
Each line ends with the local moment (μB).
Positions (direct):
Ac: 0.0147 0.9494 0.2510  0.04
Ac: 0.5147 0.5506 0.7510  0.04
Ac: 0.9853 0.0506 0.7490  0.04
Ac: 0.4853 0.4494 0.2490  0.04
Sm: 0.5000 0.0000 0.0000  0.04
Sm: 0.0000 0.5000 0.5000  0.04
Np: 0.5000 0.0000 0.5000  3.76
Np: 0.0000 0.5000 0.0000  3.76
O: 0.3057 0.6941 0.0660  -0.02
O: 0.8057 0.8059 0.5660  -0.02
O: 0.6943 0.3059 0.9340  -0.02
O: 0.1943 0.1941 0.4340  -0.02
O: 0.3071 0.6963 0.4307  -0.02
O: 0.8071 0.8037 0.9307  -0.02
O: 0.6929 0.3037 0.5693  -0.02
O: 0.1929 0.1963 0.0693  -0.02
O: 0.8713 0.5597 0.2490  -0.02
O: 0.3713 0.9403 0.7490  -0.02
O: 0.1287 0.4403 0.7510  -0.02
O: 0.6287 0.0597 0.2510  -0.02

***

The following is a DFT calculation (GGA-PBE) of an optimized crystal structure of AcNpSnO6.

SG: P-31c (163)
Total energy (eV per atom): -8.0729
Calculated volume (A^3/atom): 16.98
Total moment (Bohr magnetons per cell): 0.113

a = 6.2330 Å, b = 6.2330 Å, c = 9.0815 Å
α = 90.00°, β = 90.00°, γ = 120.00°
Each line ends with the local moment (μB).
Positions (direct):
Ac: 0.3333 0.6667 0.2500  0.00
Ac: 0.6667 0.3333 0.7500  0.00
Np: 0.6667 0.3333 0.2500  -0.08
Np: 0.3333 0.6667 0.7500  -0.08
Sn: 0.0000 0.0000 0.0000  0.00
Sn: 0.0000 0.0000 0.5000  0.00
O: 0.6687 0.6125 0.1323  0.00
O: 0.9438 0.3313 0.1323  0.00
O: 0.3313 0.9438 0.6323  0.00
O: 0.0562 0.6687 0.8677  0.00
O: 0.3875 0.3313 0.3677  0.00
O: 0.9438 0.6125 0.3677  0.00
O: 0.6125 0.9438 0.8677  0.00
O: 0.6687 0.0562 0.3677  0.00
O: 0.0562 0.3875 0.6323  0.00
O: 0.3875 0.0562 0.1323  0.00
O: 0.6125 0.6687 0.6323  0.00
O: 0.3313 0.3875 0.8677  0.00

***

The following is a DFT calculation (GGA-PBE) of an optimized crystal structure of Ac2NpSnO8.

SG: P-1 (2)
Total energy (eV per atom): -8.1017
Calculated volume (A^3/atom): 16.01
Total moment (Bohr magnetons per cell): 1.000

a = 4.2484 Å, b = 5.6611 Å, c = 8.1267 Å
α = 82.71°, β = 91.91°, γ = 97.77°
Each line ends with the local moment (μB).
Positions (direct):
Ac: 0.4811 0.5248 0.7464  0.00
Ac: 0.5189 0.4752 0.2536  0.00
Np: 0.0000 0.0000 0.0000  1.22
Sn: 0.0000 0.0000 0.5000  0.00
O: 0.0703 0.7426 0.1808  -0.05
O: 0.5918 0.7854 0.9797  -0.04
O: 0.9537 0.1947 0.2690  -0.01
O: 0.9297 0.2574 0.8192  -0.05
O: 0.4082 0.2146 0.0203  -0.04
O: 0.0463 0.8053 0.7310  -0.01
O: 0.6149 0.7604 0.4678  0.00
O: 0.3851 0.2396 0.5322  0.00

***

The following is a DFT calculation (GGA-PBE) of an optimized crystal structure of AcNpTaO6.

SG: P-31c (163)
Total energy (eV per atom): -9.4726
Calculated volume (A^3/atom): 15.01
Total moment (Bohr magnetons per cell): 6.000

a = 5.8585 Å, b = 5.8585 Å, c = 9.0902 Å
α = 90.00°, β = 90.00°, γ = 120.00°
Each line ends with the local moment (μB).
Positions (direct):
Ac: 0.3333 0.6667 0.2500  0.01
Ac: 0.6667 0.3333 0.7500  0.01
Np: 0.0000 0.0000 0.0000  3.06
Np: 0.0000 0.0000 0.5000  3.06
Ta: 0.6667 0.3333 0.2500  0.06
Ta: 0.3333 0.6667 0.7500  0.06
O: 0.7035 0.6370 0.1268  -0.03
O: 0.9335 0.2965 0.1268  -0.03
O: 0.2965 0.9335 0.6268  -0.03
O: 0.0665 0.7035 0.8732  -0.03
O: 0.3630 0.2965 0.3732  -0.03
O: 0.9335 0.6370 0.3732  -0.03
O: 0.6370 0.9335 0.8732  -0.03
O: 0.7035 0.0665 0.3732  -0.03
O: 0.0665 0.3630 0.6268  -0.03
O: 0.3630 0.0665 0.1268  -0.03
O: 0.6370 0.7035 0.6268  -0.03
O: 0.2965 0.3630 0.8732  -0.03

***

The following is a DFT calculation (GGA-PBE) of an optimized crystal structure of Ac2TbNpO8.

SG: P2/m (10)
Total energy (eV per atom): -8.5694
Calculated volume (A^3/atom): 15.18
Total moment (Bohr magnetons per cell): 0.000

a = 4.0964 Å, b = 5.7719 Å, c = 7.7403 Å
α = 90.00°, β = 90.00°, γ = 95.36°
Positions (direct):
Ac: 0.5000 0.5000 0.7469
Ac: 0.5000 0.5000 0.2531
Tb: 0.0000 0.0000 0.5000
Np: 0.0000 0.0000 0.0000
O: 0.0440 0.7808 0.2165
O: 0.5756 0.7958 0.0000
O: 0.9560 0.2191 0.2165
O: 0.9560 0.2192 0.7835
O: 0.4244 0.2042 0.0000
O: 0.0440 0.7809 0.7835
O: 0.5251 0.7589 0.5000
O: 0.4749 0.2411 0.5000

***

The following is a DFT calculation (GGA-PBE) of an optimized crystal structure of AcNpTc2O8.

SG: P-3m1 (164)
Total energy (eV per atom): -8.4237
Calculated volume (A^3/atom): 18.51
Total moment (Bohr magnetons per cell): 8.046

a = 5.9706 Å, b = 5.9706 Å, c = 7.1958 Å
α = 90.00°, β = 90.00°, γ = 120.00°
Each line ends with the local moment (μB).
Positions (direct):
Ac: 0.0000 0.0000 0.0000  0.03
Np: 0.0000 0.0000 0.5000  3.50
Tc: 0.6667 0.3333 0.2147  1.65
Tc: 0.3333 0.6667 0.7853  1.65
O: 0.3333 0.6667 0.0353  0.22
O: 0.3139 0.1568 0.2864  0.03
O: 0.8432 0.1571 0.2864  0.03
O: 0.6667 0.3333 0.9647  0.22
O: 0.1568 0.8429 0.7136  0.03
O: 0.6861 0.8432 0.7136  0.03
O: 0.1571 0.3139 0.7136  0.03
O: 0.8429 0.6861 0.2864  0.03

***

The following is a DFT calculation (GGA-PBE) of an optimized crystal structure of AcNpTe2O.

SG: P4/nmm (129)
Total energy (eV per atom): -7.4254
Calculated volume (A^3/atom): 29.64
Total moment (Bohr magnetons per cell): 7.956

a = 4.3712 Å, b = 4.3712 Å, c = 15.5101 Å
α = 90.00°, β = 90.00°, γ = 90.00°
Each line ends with the local moment (μB).
Positions (direct):
Ac: 0.5000 0.0000 0.5790  -0.01
Ac: 0.0000 0.5000 0.4210  -0.01
Np: 0.5000 0.0000 0.1086  3.99
Np: 0.0000 0.5000 0.8914  3.99
Te: 0.0000 0.5000 0.7022  -0.10
Te: 0.0000 0.5000 0.0969  -0.11
Te: 0.5000 0.0000 0.9031  -0.11
Te: 0.5000 0.0000 0.2978  -0.10
O: 0.0000 0.0000 0.5000  -0.01
O: 0.5000 0.5000 0.5000  -0.01

***

The following is a DFT calculation (GGA-PBE) of an optimized crystal structure of AcNpTeO2.

SG: Cmcm (63)
Total energy (eV per atom): -8.5719
Calculated volume (A^3/atom): 22.56
Total moment (Bohr magnetons per cell): 8.000

a = 5.8132 Å, b = 5.8609 Å, c = 7.2422 Å
α = 113.87°, β = 90.00°, γ = 90.00°
Each line ends with the local moment (μB).
Positions (direct):
Ac: 0.2500 0.6043 0.2085  0.03
Ac: 0.7500 0.3957 0.7915  0.03
Np: 0.2500 0.9180 0.8360  3.83
Np: 0.7500 0.0820 0.1640  3.83
Te: 0.7500 0.7471 0.4942  -0.04
Te: 0.2500 0.2529 0.5058  -0.04
O: 0.5000 0.2383 0.0000  -0.05
O: 0.0000 0.7617 0.0000  -0.05
O: 0.5000 0.7617 0.0000  -0.05
O: 0.0000 0.2383 0.0000  -0.05